Record 1
# TmMgTl2, relaxed, DFT PBE-GGA
# formation energy	-31.7	kJ/mol of formula units
# crystal system	monoclinic
data_TmMgTl2
_cell_length_a 6.0569
_cell_length_b 3.4916
_cell_length_c 10.2445
_cell_angle_alpha 90.00
_cell_angle_beta 101.25
_cell_angle_gamma 90.00
_symmetry_space_group_name_H-M 'C 1 m 1'
_symmetry_Int_Tables_number 8
loop_
_symmetry_equiv_pos_as_xyz
'x,y,z'
'x,-y,z'
'x+1/2,y+1/2,z'
'x+1/2,-y+1/2,z'
loop_
_atom_site_label
_atom_site_type_symbol
_atom_site_fract_x
_atom_site_fract_y
_atom_site_fract_z
Tm1 Tm 0.0000 0.0000 0.0000
Mg1 Mg 0.1652 0.0000 0.4985
Tl1 Tl 0.0787 0.5000 0.7380
Tl2 Tl 0.4195 0.0000 0.2592


Record 2
# NdY8Th4, relaxed, DFT PBE-GGA
# formation energy	274.3	kJ/mol of formula units
# crystal system	trigonal
data_NdY8Th4
_cell_length_a 7.4058
_cell_length_b 7.4058
_cell_length_c 26.9014
_cell_angle_alpha 90.00
_cell_angle_beta 90.00
_cell_angle_gamma 120.00
_symmetry_space_group_name_H-M 'R -3 m'
_symmetry_Int_Tables_number 166
_symmetry_space_group_name_Hall '-R 3 2"'
loop_
_atom_site_label
_atom_site_type_symbol
_atom_site_fract_x
_atom_site_fract_y
_atom_site_fract_z
Nd1 Nd 0.0000 0.0000 0.0000
Y1 Y 0.0000 0.0000 0.2787
Y2 Y 0.0386 0.5193 0.2694
Th1 Th 0.0000 0.0000 0.5000
Th2 Th 0.0000 0.5000 0.5000


Record 3
# Pr4Ge2SeBr, relaxed, DFT PBE-GGA
# formation energy from raw total energies	-10.3	eV/f.u.
# crystal system	monoclinic
data_Pr4Ge2SeBr
_cell_length_a 7.5147
_cell_length_b 4.3390
_cell_length_c 7.5494
_cell_angle_alpha 90.00
_cell_angle_beta 109.32
_cell_angle_gamma 90.00
_symmetry_space_group_name_H-M 'P 1 2/m 1'
_symmetry_Int_Tables_number 10
loop_
_symmetry_equiv_pos_as_xyz
'x,y,z'
'-x,-y,-z'
'-x,y,-z'
'x,-y,z'
loop_
_atom_site_label
_atom_site_type_symbol
_atom_site_fract_x
_atom_site_fract_y
_atom_site_fract_z
Pr1 Pr 0.2354 0.0000 0.2269
Pr2 Pr 0.2490 0.5000 0.7668
Ge1 Ge 0.0000 0.5000 0.0000
Ge2 Ge 0.5000 0.0000 0.0000
Se1 Se 0.0000 0.0000 0.5000
Br1 Br 0.5000 0.5000 0.5000


Record 4
# ScWS2, relaxed, DFT PBE-GGA
# formation energy from raw total energies	-2.3	eV/f.u.
# crystal system	cubic
data_ScWS2
_cell_length_a 6.1987
_cell_length_b 6.1987
_cell_length_c 6.1987
_cell_angle_alpha 90.00
_cell_angle_beta 90.00
_cell_angle_gamma 90.00
_symmetry_space_group_name_H-M 'F m -3 m'
_symmetry_Int_Tables_number 225
_symmetry_space_group_name_Hall '-F 4 2 3'
loop_
_atom_site_label
_atom_site_type_symbol
_atom_site_fract_x
_atom_site_fract_y
_atom_site_fract_z
Sc1 Sc 0.0000 0.0000 0.0000
W1 W 0.0000 0.0000 0.5000
S1 S 0.2500 0.2500 0.2500


Record 5
# Mg3HgH, relaxed, DFT PBE-GGA
# electronic total energy	-1.76	eV/atom
# crystal system	cubic
data_Mg3HgH
_cell_length_a 4.4051
_cell_length_b 4.4051
_cell_length_c 4.4051
_cell_angle_alpha 90.00
_cell_angle_beta 90.00
_cell_angle_gamma 90.00
_symmetry_space_group_name_H-M 'P m -3 m'
_symmetry_Int_Tables_number 221
_symmetry_space_group_name_Hall '-P 4 2 3'
loop_
_atom_site_label
_atom_site_type_symbol
_atom_site_fract_x
_atom_site_fract_y
_atom_site_fract_z
Mg1 Mg 0.0000 0.0000 0.5000
Hg1 Hg 0.5000 0.5000 0.5000
H1 H 0.0000 0.0000 0.0000


Record 6
# SiHg2Sb, relaxed, DFT PBE-GGA
# formation energy from raw total energies	2.0	eV/f.u.
# crystal system	cubic
data_SiHg2Sb
_cell_length_a 7.2405
_cell_length_b 7.2405
_cell_length_c 7.2405
_cell_angle_alpha 90.00
_cell_angle_beta 90.00
_cell_angle_gamma 90.00
_symmetry_space_group_name_H-M 'F m -3 m'
_symmetry_Int_Tables_number 225
_symmetry_space_group_name_Hall '-F 4 2 3'
loop_
_atom_site_label
_atom_site_type_symbol
_atom_site_fract_x
_atom_site_fract_y
_atom_site_fract_z
Si1 Si 0.0000 0.0000 0.0000
Hg1 Hg 0.2500 0.2500 0.2500
Sb1 Sb 0.0000 0.0000 0.5000


| no. | volume (Å³ per cell) | ρ (g/cm³) |
| --- | --- | --- |
| 1 | 212 | 9.4 |
| 2 | 1278 | 7.0 |
| 3 | 232 | 6.2 |
| 4 | 238 | 8.2 |
| 5 | 85 | 5.3 |
| 6 | 380 | 9.6 |